Entry 1:
Computed, not measured: a geometry-optimized TbCu6Pd6 structure at the PBE-GGA level of DFT.

Properties
E_form, eV per atom: -0.338
Calculated total energy, eV per cell: -64.8
Magnetization, μB/cell: 0.00
N(E_F), states/eV/cell: 3.77

Unit cell a=4.997 b=6.677 c=6.677 alpha=83.21 beta=68.02 gamma=68.02
Sites, in units of the cell vectors:
Tb: 0.000 0.000 0.000
Cu: 0.000 0.500 0.000
Cu: 0.500 0.500 0.000
Cu: 0.000 0.000 0.500
Cu: 0.500 0.000 0.500
Cu: 0.500 0.763 0.237
Cu: 0.500 0.237 0.763
Pd: 0.342 0.658 0.658
Pd: 0.658 0.342 0.342
Pd: 0.000 0.347 0.653
Pd: 0.000 0.653 0.347
Pd: 0.311 0.189 0.189
Pd: 0.689 0.811 0.811

Entry 2:
Computed, not measured: a geometry-optimized DyFe2GeC structure at the PBE-GGA level of DFT.

Properties
E_form, eV per atom: -0.410
Calculated total energy, eV per cell: -74.8
Magnetization, μB/cell: 1.57
N(E_F), states/eV/cell: 9.23

Unit cell a=3.803 b=5.597 c=6.874 alpha=90.00 beta=90.00 gamma=109.86
Sites, in units of the cell vectors:
Dy: 0.451 0.902 0.750
Dy: 0.549 0.098 0.250
Fe: 0.163 0.326 0.938
Fe: 0.837 0.674 0.062
Fe: 0.163 0.326 0.562
Fe: 0.837 0.674 0.438
Ge: 0.731 0.462 0.750
Ge: 0.269 0.538 0.250
C: 0.000 0.000 0.000
C: 0.000 0.000 0.500

Entry 3:
Computed, not measured: a geometry-optimized La3PmY structure at the PBE-GGA level of DFT.

Properties
Relative energy among the computed polymorphs, meV/atom: 67
E_form, eV per atom: 0.114
Calculated total energy, eV per cell: -50.9
Magnetization, μB/cell: 0.00
N(E_F), states/eV/cell: 17.18

Unit cell a=3.548 b=6.848 c=21.639 alpha=137.34 beta=90.00 gamma=90.00
Sites, in units of the cell vectors:
La: 0.750 0.678 0.898
La: 0.250 0.322 0.102
La: 0.750 0.734 0.491
La: 0.250 0.266 0.509
La: 0.750 0.967 0.705
La: 0.250 0.033 0.295
Pm: 0.750 0.478 0.702
Pm: 0.250 0.522 0.298
Y: 0.750 0.832 0.104
Y: 0.250 0.168 0.896

Entry 4:
Computed, not measured: a geometry-optimized Rb2Na6AgAu structure at the PBE-GGA level of DFT.

Properties
E_form, eV per atom: -0.030
Calculated total energy, eV per cell: -16.3
Magnetization, μB/cell: 0.00
N(E_F), states/eV/cell: 5.63

Unit cell a=8.342 b=8.342 c=8.342 alpha=60.00 beta=60.00 gamma=90.00
Sites, in units of the cell vectors:
Rb: 0.250 0.750 0.500
Rb: 0.750 0.250 0.500
Na: 0.248 0.752 0.000
Na: 0.752 0.752 0.000
Na: 0.248 0.248 0.505
Na: 0.752 0.248 0.000
Na: 0.248 0.248 0.000
Na: 0.752 0.752 0.495
Ag: 0.500 0.500 0.000
Au: 0.000 0.000 0.000

Entry 5:
Computed, not measured: a geometry-optimized Li5MgPb4 structure at the PBE-GGA level of DFT.

Properties
E_form, eV per atom: -0.232
Calculated total energy, eV per cell: -28.3
Magnetization, μB/cell: 0.00
N(E_F), states/eV/cell: 5.34

Unit cell a=3.609 b=3.609 c=16.937 alpha=90.00 beta=90.00 gamma=90.00
Sites, in units of the cell vectors:
Li: 0.500 0.500 0.099
Li: 0.500 0.500 0.295
Li: 0.500 0.500 0.500
Li: 0.500 0.500 0.705
Li: 0.500 0.500 0.901
Mg: 0.000 0.000 0.000
Pb: 0.000 0.000 0.191
Pb: 0.000 0.000 0.398
Pb: 0.000 0.000 0.602
Pb: 0.000 0.000 0.809

Entry 6:
Computed, not measured: a geometry-optimized KSr2Mg structure at the PBE-GGA level of DFT.

Properties
E_form, eV per atom: 0.093
Calculated total energy, eV per cell: -5.7
Magnetization, μB/cell: 0.00
N(E_F), states/eV/cell: 5.31

Unit cell a=4.240 b=4.240 c=10.972 alpha=90.00 beta=90.00 gamma=90.01
Sites, in units of the cell vectors:
K: 0.000 0.000 0.547
Mg: 0.500 0.500 0.772
Sr: 0.000 0.000 0.952
Sr: 0.500 0.500 0.228

Entry 7:
Computed, not measured: a geometry-optimized Li5SeN structure at the PBE-GGA level of DFT.

Properties
Calculated total energy, eV per cell: -52.0
Magnetization, μB/cell: 0.00
Energy relative to the elements, uncorrected, eV/atom: -0.6634

Unit cell a=6.603 b=6.603 c=6.603 alpha=70.17 beta=69.63 gamma=108.22
Sites, in units of the cell vectors:
Li: 0.250 0.250 0.000
Li: 0.454 0.751 0.795
Li: 0.750 0.250 0.500
Li: 0.250 0.062 0.688
Li: 0.046 0.751 0.203
Li: 0.954 0.249 0.797
Li: 0.750 0.938 0.312
Li: 0.250 0.750 0.500
Li: 0.546 0.249 0.205
Li: 0.750 0.750 0.000
Se: 0.250 0.474 0.276
Se: 0.750 0.526 0.724
N: 0.000 0.000 0.000
N: 0.500 0.000 0.500

Entry 8:
Computed, not measured: a geometry-optimized KCuBr2 structure at the PBE-GGA level of DFT.

Properties
Relative energy among the computed polymorphs, meV/atom: 15
Calculated total energy, eV per cell: -24.9
Magnetization, μB/cell: 0.00
Energy relative to the elements, uncorrected, eV/atom: -0.9817

Unit cell a=4.205 b=7.336 c=8.070 alpha=93.64 beta=90.02 gamma=106.64
Sites, in units of the cell vectors:
K: 0.777 0.686 0.404
K: 0.566 0.264 0.854
Cu: 0.005 0.149 0.276
Cu: 0.301 0.736 0.942
Br: 0.473 0.083 0.422
Br: 0.891 0.915 0.009
Br: 0.209 0.550 0.681
Br: 0.165 0.460 0.149